Below is a relaxed Sc6Cd2Co crystal, with properties calculated at the PBE-GGA level.

POSCAR file:
```
Sc6Cd2Co
1.0
3.3974 0.0000 0.0000
0.0000 7.0879 4.0998
0.0000 -7.0879 4.0998
Sc Cd Co
6 2 1
Direct
0.0000 0.0000 0.0000
0.0000 0.5270 0.7623
0.0000 0.7623 0.5270
0.5000 0.1517 0.7629
0.5000 0.3729 0.3729
0.5000 0.7629 0.1517
0.0000 0.0960 0.4299
0.0000 0.4299 0.0960
0.5000 0.7650 0.7650
```

Properties
D(E_F)   14.32 states/eV/f.u.
VASP energy   -48.7 eV per formula unit
Crystal system   orthorhombic
Spin magnetization   0.09 μB/atom
ΔE_f   -201.7 meV per atom

***

Below is a relaxed LaGaN2 crystal, with properties calculated at the PBE-GGA level.

POSCAR file:
```
LaGaN2
1.0
3.6596 0.0000 0.0000
0.0000 8.1707 0.0000
0.0000 0.0000 4.0705
La Ga N
2 2 4
Direct
0.0000 0.1555 0.0000
0.5000 0.8445 0.5000
0.0000 0.6045 0.9915
0.5000 0.3955 0.4915
0.0000 0.4175 0.2804
0.0000 0.8515 0.0852
0.5000 0.1485 0.5852
0.5000 0.5825 0.7804
```

Properties
Energy relative to the elements, uncorrected   -0.773 eV/atom
VASP energy   -27.7 eV per formula unit
Crystal system   orthorhombic
Spin magnetization   0.00 μB/atom

***

Below is a relaxed NaScC crystal, with properties calculated at the PBE-GGA level.

POSCAR file:
```
NaScC
1.0
5.8091 -1.5877 0.0000
5.8091 1.5877 0.0000
-5.3218 0.0000 6.6019
Na Sc C
2 2 2
Direct
0.0000 0.0000 0.0000
0.1346 0.1346 0.7943
0.2358 0.2358 0.4781
0.3931 0.3931 0.2930
0.7238 0.7238 0.1121
0.7349 0.7349 0.2828
```

Properties
D(E_F)   1.28 states/eV/f.u.
Energy relative to the lowest polymorph listed for this composition   365 meV/atom
VASP energy   -16.2 eV per formula unit
Crystal system   monoclinic
Spin magnetization   0.00 μB/atom
ΔE_f   222.1 meV per atom

***

Below is a relaxed OsRu4Rh2 crystal, with properties calculated at the PBE-GGA level.

POSCAR file:
```
OsRu4Rh2
1.0
1.3474 -9.6680 0.0000
1.3474 9.6680 0.0000
0.0000 0.0000 4.3278
Os Ru Rh
1 4 2
Direct
0.0000 0.0000 0.0000
0.0722 0.9278 0.5000
0.3824 0.6176 0.0000
0.6176 0.3824 0.0000
0.9278 0.0722 0.5000
0.3062 0.6938 0.5000
0.6938 0.3062 0.5000
```

Properties
D(E_F)   9.29 states/eV/f.u.
VASP energy   -59.8 eV per formula unit
Crystal system   orthorhombic
Spin magnetization   0.00 μB/atom
ΔE_f   467.9 meV per atom